Al2IrRh: optimized geometry, GGA-PBE.

```
Al2IrRh
1.0
-2.3270 0.5442 3.1860
1.7739 -3.0667 1.8194
5.2918 3.8540 5.6960
Al Rh Ir
4 2 2
Direct
0.6260 0.1250 0.2500 Al
0.3750 0.3740 0.7500 Al
0.8750 0.8760 0.7500 Al
0.1240 0.6250 0.2500 Al
0.2500 0.7500 0.5000 Rh
0.5000 0.5000 0.0000 Rh
0.7500 0.2500 0.5000 Ir
0.0000 0.0000 0.0000 Ir
```

Properties
energy above the most stable polymorph in this dataset: 854 meV/atom
E_tot: -6.095 eV per atom
energy of formation from the pure elements: -16.4 kJ per mole of atoms